[1]
## LaCe2P2Rh7 (PBE)

Data for a relaxed structure of LaCe2P2Rh7.

Cell lengths 5.7219, 5.6599, 13.4546 Å; angles 90.00, 98.11, 90.00 degrees
Space group C2/m (No. 12)
Unique sites:
La (0.0000, 0.0000, 0.0000)
Ce (0.1076, 0.0000, 0.3535)
P (0.0843, 0.5000, 0.2561)
Rh (0.0000, 0.5000, 0.0000)
Rh (0.1382, 0.5000, 0.4275)
Rh (0.1939, 0.2501, 0.8290)

Computed properties:
Its formation energy is -0.877 eV per atom. Its total energy is -0.549 Ry/atom. The value obtained for the density is 9.2 g/cm³.



[2]
## LaCeP2Rh5 (PBE)

Data for a relaxed structure of LaCeP2Rh5.

Cell lengths 4.0483, 4.0483, 11.0115 Å; angles 90.00, 90.00, 90.00 degrees
Space group P4/mmm (No. 123)
Unique sites:
La (0.0000, 0.0000, 0.0000)
Ce (0.0000, 0.0000, 0.5000)
P (0.5000, 0.5000, 0.2930)
Rh (0.0000, 0.5000, 0.2021)
Rh (0.5000, 0.5000, 0.5000)

Computed properties:
Its formation energy is -0.773 eV per atom. Its total energy is -0.534 Ry/atom. The value obtained for the density is 7.9 g/cm³.



[3]
## LaCeSbP (PBE)

Data for a relaxed structure of LaCeSbP.

Cell lengths 4.3366, 4.3366, 21.7088 Å; angles 90.00, 90.00, 120.00 degrees
Space group R3m (No. 160, hexagonal axes)
Unique sites:
La (0.0000, 0.0000, 0.0000)
Ce (0.0000, 0.0000, 0.5160)
Sb (0.0000, 0.0000, 0.7613)
P (0.0000, 0.0000, 0.2545)

Computed properties:
Its uncorrected formation energy is -127.4 kJ per mole of atoms. Its total energy is -0.472 Ry/atom. The value obtained for the density is 6.1 g/cm³.



[4]
## La3CeSc2P6 (PBE)

Data for a relaxed structure of La3CeSc2P6.

Cell lengths 7.0442, 12.2004, 7.0683 Å; angles 90.00, 109.44, 90.00 degrees
Space group C2/m (No. 12)
Unique sites:
La (0.0000, 0.0000, 0.0000)
La (0.0000, 0.3344, 0.0000)
Ce (0.0000, 0.5000, 0.5000)
Sc (0.0000, 0.1670, 0.5000)
P (0.2338, 0.0000, 0.7240)
P (0.2457, 0.3296, 0.7261)

Computed properties:
Its formation energy is -1.489 eV per atom. Its total energy is -0.513 Ry/atom. The value obtained for the density is 4.8 g/cm³.



[5]
## LaCe2ScP4 (PBE)

Data for a relaxed structure of LaCe2ScP4.

Cell lengths 7.0152, 4.0702, 7.0413 Å; angles 90.00, 109.46, 90.00 degrees
Space group P2/m (No. 10)
Unique sites:
La (0.0000, 0.0000, 0.0000)
Ce (0.5000, 0.0000, 0.5000)
Ce (0.5000, 0.5000, 0.0000)
Sc (0.0000, 0.5000, 0.5000)
P (0.2423, 0.0000, 0.7338)
P (0.2525, 0.5000, 0.2657)

Computed properties:
Its formation energy is -1.462 eV per atom. Its total energy is -0.519 Ry/atom. The value obtained for the density is 5.2 g/cm³.



[6]
## LaCePSe (PBE)

Data for a relaxed structure of LaCePSe.

Cell lengths 4.2237, 4.2237, 5.9782 Å; angles 90.00, 90.00, 90.00 degrees
Space group P4/mmm (No. 123)
Unique sites:
La (0.0000, 0.0000, 0.0000)
Ce (0.5000, 0.5000, 0.5000)
P (0.0000, 0.0000, 0.5000)
Se (0.5000, 0.5000, 0.0000)

Computed properties:
Its uncorrected formation energy is -168.5 kJ per mole of atoms. Its total energy is -0.491 Ry/atom. The value obtained for the density is 6.1 g/cm³.



[7]
## La2CeSm3P6 (PBE)

Data for a relaxed structure of La2CeSm3P6.

Cell lengths 18.1172, 4.1617, 8.3256 Å; angles 90.00, 103.22, 90.00 degrees
Space group C2/m (No. 12)
Unique sites:
La (0.1664, 0.0000, 0.3336)
Ce (0.0000, 0.5000, 0.0000)
Sm (0.0000, 0.5000, 0.5000)
Sm (0.1672, 0.0000, 0.8336)
P (0.0022, 0.0000, 0.7550)
P (0.1646, 0.5000, 0.0767)
P (0.1647, 0.5000, 0.5881)

Computed properties:
Its formation energy is -1.561 eV per atom. Its total energy is -0.497 Ry/atom. The value obtained for the density is 5.7 g/cm³.



[8]
## LaCe3Sm2P6 (PBE)

Data for a relaxed structure of LaCe3Sm2P6.

Cell lengths 7.1442, 12.3754, 7.1436 Å; angles 90.00, 109.49, 90.00 degrees
Space group C2/m (No. 12)
Unique sites:
La (0.0000, 0.0000, 0.0000)
Ce (0.0000, 0.1659, 0.5000)
Ce (0.0000, 0.5000, 0.5000)
Sm (0.0000, 0.3331, 0.0000)
P (0.2453, 0.3310, 0.7428)
P (0.2474, 0.5000, 0.2563)

Computed properties:
Its formation energy is -1.537 eV per atom. Its total energy is -0.509 Ry/atom. The value obtained for the density is 5.8 g/cm³.



[9]
## LaCe3Sm4P8 (PBE)

Data for a relaxed structure of LaCe3Sm4P8.

Cell lengths 8.2435, 8.2435, 20.1652 Å; angles 90.00, 90.00, 120.00 degrees
Space group R-3m (No. 166, hexagonal axes)
Unique sites:
La (0.0000, 0.0000, 0.0000)
Ce (0.0000, 0.5000, 0.0000)
Sm (0.0000, 0.0000, 0.5000)
Sm (0.0000, 0.5000, 0.5000)
P (0.0000, 0.0000, 0.2511)
P (0.0058, 0.5029, 0.2502)

Computed properties:
Its formation energy is -1.548 eV per atom. Its total energy is -0.504 Ry/atom. The value obtained for the density is 5.9 g/cm³.



[10]
## La4CeSm3P8 (PBE)

Data for a relaxed structure of La4CeSm3P8.

Cell lengths 8.3724, 8.3724, 20.5458 Å; angles 90.00, 90.00, 120.00 degrees
Space group R-3m (No. 166, hexagonal axes)
Unique sites:
La (0.0000, 0.0000, 0.0000)
La (0.0000, 0.5000, 0.0000)
Ce (0.0000, 0.0000, 0.5000)
Sm (0.0000, 0.5000, 0.5000)
P (0.0000, 0.0000, 0.2475)
P (0.0026, 0.5013, 0.2466)

Computed properties:
Its formation energy is -1.565 eV per atom. Its total energy is -0.497 Ry/atom. The value obtained for the density is 5.6 g/cm³.



[11]
## SrLa2CeP4 (PBE)

Data for a relaxed structure of SrLa2CeP4.

Cell lengths 7.3355, 4.2595, 7.3516 Å; angles 90.00, 109.11, 90.00 degrees
Space group P2/m (No. 10)
Unique sites:
Sr (0.0000, 0.0000, 0.0000)
La (0.5000, 0.0000, 0.5000)
La (0.5000, 0.5000, 0.0000)
Ce (0.0000, 0.5000, 0.5000)
P (0.2429, 0.0000, 0.7363)
P (0.2499, 0.5000, 0.2671)

Computed properties:
Its formation energy is -1.395 eV per atom. Its total energy is -0.462 Ry/atom. The value obtained for the density is 4.8 g/cm³.



[12]
## SrLaCe2P4 (PBE)

Data for a relaxed structure of SrLaCe2P4.

Cell lengths 7.2770, 4.2007, 7.3014 Å; angles 90.00, 109.34, 90.00 degrees
Space group P2/m (No. 10)
Unique sites:
Sr (0.0000, 0.0000, 0.0000)
La (0.5000, 0.5000, 0.0000)
Ce (0.0000, 0.5000, 0.5000)
Ce (0.5000, 0.0000, 0.5000)
P (0.2500, 0.0000, 0.7331)
P (0.2641, 0.5000, 0.2741)

Computed properties:
Its formation energy is -1.409 eV per atom. Its total energy is -0.472 Ry/atom. The value obtained for the density is 5.0 g/cm³.



[13]
## Sr3LaCe2P6 (PBE)

Data for a relaxed structure of Sr3LaCe2P6.

Cell lengths 7.3873, 12.8033, 7.3826 Å; angles 90.00, 109.53, 90.00 degrees
Space group C2/m (No. 12)
Unique sites:
Sr (0.0000, 0.0000, 0.0000)
Sr (0.0000, 0.3352, 0.0000)
La (0.0000, 0.5000, 0.5000)
Ce (0.0000, 0.1668, 0.5000)
P (0.2293, 0.0000, 0.7221)
P (0.2465, 0.3276, 0.7216)

Computed properties:
Its formation energy is -1.243 eV per atom. Its total energy is -0.424 Ry/atom. The value obtained for the density is 4.4 g/cm³.



[14]
## LaTb2Ce3P6 (PBE)

Data for a relaxed structure of LaTb2Ce3P6.

Cell lengths 7.1032, 12.3045, 7.0949 Å; angles 90.00, 109.52, 90.00 degrees
Space group C2/m (No. 12)
Unique sites:
La (0.0000, 0.0000, 0.0000)
Tb (0.0000, 0.3329, 0.0000)
Ce (0.0000, 0.1653, 0.5000)
Ce (0.0000, 0.5000, 0.5000)
P (0.2431, 0.5000, 0.2522)
P (0.2450, 0.3296, 0.7464)

Computed properties:
Its formation energy is -1.544 eV per atom. Its total energy is -0.508 Ry/atom. The value obtained for the density is 6.0 g/cm³.



[15]
## LaTb2CeP4 (PBE)

Data for a relaxed structure of LaTb2CeP4.

Cell lengths 7.0968, 4.1053, 7.1164 Å; angles 90.00, 109.42, 90.00 degrees
Space group P2/m (No. 10)
Unique sites:
La (0.0000, 0.0000, 0.0000)
Tb (0.5000, 0.0000, 0.5000)
Tb (0.5000, 0.5000, 0.0000)
Ce (0.0000, 0.5000, 0.5000)
P (0.2552, 0.0000, 0.7464)
P (0.2582, 0.5000, 0.2590)

Computed properties:
Its formation energy is -1.568 eV per atom. Its total energy is -0.499 Ry/atom. The value obtained for the density is 6.1 g/cm³.



[16]
## LaTbCe2P4 (PBE)

Data for a relaxed structure of LaTbCe2P4.

Cell lengths 7.1321, 4.1198, 7.1396 Å; angles 90.00, 109.45, 90.00 degrees
Space group P2/m (No. 10)
Unique sites:
La (0.0000, 0.0000, 0.0000)
Tb (0.0000, 0.5000, 0.5000)
Ce (0.5000, 0.0000, 0.5000)
Ce (0.5000, 0.5000, 0.0000)
P (0.2530, 0.0000, 0.7446)
P (0.2581, 0.5000, 0.2595)

Computed properties:
Its formation energy is -1.538 eV per atom. Its total energy is -0.509 Ry/atom. The value obtained for the density is 5.9 g/cm³.



[17]
## La3Tb2CeP6 (PBE)

Data for a relaxed structure of La3Tb2CeP6.

Cell lengths 7.1951, 12.4598, 7.2179 Å; angles 90.00, 109.40, 90.00 degrees
Space group C2/m (No. 12)
Unique sites:
La (0.0000, 0.0000, 0.0000)
La (0.0000, 0.3330, 0.0000)
Tb (0.0000, 0.1665, 0.5000)
Ce (0.0000, 0.5000, 0.5000)
P (0.2449, 0.3339, 0.7367)
P (0.2467, 0.0000, 0.7363)

Computed properties:
Its formation energy is -1.573 eV per atom. Its total energy is -0.498 Ry/atom. The value obtained for the density is 5.8 g/cm³.



[18]
## La2TbCeP4 (PBE)

Data for a relaxed structure of La2TbCeP4.

Cell lengths 7.1959, 4.1630, 7.2250 Å; angles 90.00, 109.38, 90.00 degrees
Space group P2/m (No. 10)
Unique sites:
La (0.0000, 0.0000, 0.0000)
La (0.5000, 0.5000, 0.0000)
Tb (0.0000, 0.5000, 0.5000)
Ce (0.5000, 0.0000, 0.5000)
P (0.2462, 0.0000, 0.7366)
P (0.2543, 0.5000, 0.2635)

Computed properties:
Its formation energy is -1.562 eV per atom. Its total energy is -0.501 Ry/atom. The value obtained for the density is 5.7 g/cm³.



[19]
## LaCeTeP (PBE)

Data for a relaxed structure of LaCeTeP.

Cell lengths 4.2316, 4.2316, 22.9541 Å; angles 90.00, 90.00, 120.00 degrees
Space group R3m (No. 160, hexagonal axes)
Unique sites:
La (0.0000, 0.0000, 0.0000)
Ce (0.0000, 0.0000, 0.1921)
Te (0.0000, 0.0000, 0.4306)
P (0.0000, 0.0000, 0.5952)

Computed properties:
Its uncorrected formation energy is -144.1 kJ per mole of atoms. Its total energy is -0.467 Ry/atom. The value obtained for the density is 6.1 g/cm³.



[20]
## LaCe4Th3P8 (PBE)

Data for a relaxed structure of LaCe4Th3P8.

Cell lengths 8.2726, 8.2726, 20.2436 Å; angles 90.00, 90.00, 120.00 degrees
Space group R-3m (No. 166, hexagonal axes)
Unique sites:
La (0.0000, 0.0000, 0.0000)
Ce (0.0000, 0.0000, 0.5000)
Ce (0.0000, 0.5000, 0.5000)
Th (0.0000, 0.5000, 0.0000)
P (0.0000, 0.0000, 0.2492)
P (0.0044, 0.5022, 0.2482)

Computed properties:
Its formation energy is -1.540 eV per atom. Its total energy is -0.546 Ry/atom. The value obtained for the density is 6.8 g/cm³.